Entry 1:
The following is a GGA-PBE calculation of BeCd4Cl after structural relaxation, from the Alexandria database.

POSCAR file:
```
BeCd4Cl
1.0
5.1938 -0.6594 2.4968
0.6316 0.9786 5.6822
0.9356 -4.4343 3.6202
Cd Be Cl
4 1 1
Cartesian
3.0007 -3.7714 6.2370
5.1437 -1.8716 5.6716
2.8477 -1.0473 7.2747
2.5298 -1.5398 4.4151
0.0000 0.0000 0.0000
5.0707 -3.0863 8.8494
```

Final energy   -1.17 eV per atom
Space group   No. 216
Uncorrected formation energy   0.3679 eV/atom



Entry 2:
The following is a GGA-PBE calculation of Be2CdCl after structural relaxation, from the Alexandria database.

POSCAR file:
```
Be2CdCl
1.0
-2.8726 -6.1971 -0.6800
-0.8754 -5.7693 3.6149
-0.1701 6.8357 -0.6018
Be Cl Cd
2 1 1
Cartesian
-1.4597 -2.4584 2.2402
0.0000 0.0000 0.0000
-2.4583 -2.6723 0.0928
-1.8740 -5.9832 1.4675
```

Final energy   -1.92 eV per atom
Offset from the most stable computed form   579.3 meV per atom
Space group   No. 119
Uncorrected formation energy   0.6323 eV/atom



Entry 3:
The following is a GGA-PBE calculation of Be2CdCl after structural relaxation, from the Alexandria database.

POSCAR file:
```
Be2CdCl
1.0
-0.7864 0.4580 -2.8467
-0.0341 -2.9774 -0.4696
-6.6272 -0.2095 1.7970
Cl Be Cd
1 2 1
Cartesian
-5.3892 -2.1611 -0.4278
-0.0850 -2.2367 -0.3364
-3.2798 -2.3341 0.5305
-2.0585 -0.5677 -1.0915
```

Final energy   -2.29 eV per atom
Offset from the most stable computed form   215.0 meV per atom
Space group   No. 47
Uncorrected formation energy   0.2680 eV/atom



Entry 4:
The following is a GGA-PBE calculation of Be2CdCl after structural relaxation, from the Alexandria database.

POSCAR file:
```
Be2CdCl
1.0
-4.5728 -0.8924 0.4737
-3.8171 -1.1967 -2.4349
-3.3653 -6.2379 -0.2216
Cl Be Cd
1 2 1
Cartesian
-2.9388 -2.0818 -0.5457
-6.6172 -4.9063 -1.2059
-11.0154 -7.5843 -2.0684
-8.8163 -6.2453 -1.6371
```

Final energy   -2.37 eV per atom
Offset from the most stable computed form   133.2 meV per atom
Space group   No. 12
Uncorrected formation energy   0.1863 eV/atom



Entry 5:
The following is a GGA-PBE calculation of BeCdCl after structural relaxation, from the Alexandria database.

POSCAR file:
```
BeCdCl
1.0
-3.4897 0.5284 -2.9172
-3.3858 -3.0811 -0.1015
-4.1535 1.1099 1.5759
Cd Be Cl
1 1 1
Cartesian
0.0000 0.0000 0.0000
-8.2718 -1.0821 -1.0821
-5.5145 -0.7214 -0.7214
```

Final energy   -1.65 eV per atom
Offset from the most stable computed form   674.3 meV per atom
Space group   No. 216
Uncorrected formation energy   0.5088 eV/atom



Entry 6:
The following is a GGA-PBE calculation of Be2CdCl after structural relaxation, from the Alexandria database.

POSCAR file:
```
Be2CdCl
1.0
2.8513 0.0000 0.0000
0.0000 5.8217 0.0000
0.0000 0.0000 4.1426
Cd Cl Be
1 1 2
Cartesian
1.4256 0.0000 2.0713
0.0000 2.9108 2.0713
0.0000 0.0000 0.0000
1.4256 2.9108 0.0000
```

Final energy   -1.95 eV per atom
Offset from the most stable computed form   548.7 meV per atom
Space group   No. 47
Uncorrected formation energy   0.6017 eV/atom



Entry 7:
The following is a GGA-PBE calculation of BeCdCl after structural relaxation, from the Alexandria database.

POSCAR file:
```
BeCdCl
1.0
-4.2209 0.1349 -7.1339
-2.8435 -2.8249 -6.8211
-3.1333 0.6867 0.6831
Cd Cl Be
1 1 1
Cartesian
-4.6140 -0.5852 -4.8305
-5.5115 -1.3561 -8.1727
-3.2055 0.6247 0.4143
```

Final energy   -2.29 eV per atom
Offset from the most stable computed form   42.1 meV per atom
Space group   No. 42
Uncorrected formation energy   -0.1234 eV/atom



Entry 8:
The following is a GGA-PBE calculation of BeCd3Cl after structural relaxation, from the Alexandria database.

POSCAR file:
```
BeCd3Cl
1.0
4.8836 0.0000 0.0000
0.0000 4.8836 0.0000
0.0000 0.0000 4.8836
Cd Cl Be
3 1 1
Cartesian
0.0000 2.4418 0.0000
0.0000 0.0000 2.4418
2.4418 0.0000 0.0000
2.4418 2.4418 2.4418
0.0000 0.0000 0.0000
```

Final energy   -1.66 eV per atom
Offset from the most stable computed form   0.0 meV per atom
Space group   No. 221
Uncorrected formation energy   -0.0003 eV/atom



Number 1: total moment 0.000 μB/atom. Number 2: total moment 0.000 μB/atom. Number 3: total moment 0.000 μB/atom. Number 4: total moment 0.000 μB/atom. Number 5: total moment 0.048 μB/atom. Number 6: total moment 0.000 μB/atom. Number 7: total moment 0.000 μB/atom. Number 8: total moment 0.000 μB/atom.